Record 1
Below is a geometry-optimized PmCd4Pd7 structure, with properties calculated at the PBE level.

The structure in extended XYZ format:
```
12
Lattice="5.099 0.000 0.000 2.550 8.612 -0.066 2.550 0.132 5.325" Properties=species:S:1:pos:R:3 pbc="T T T"
Pd 7.649 7.980 2.676
Cd 2.550 2.856 0.841
Cd 5.099 6.670 2.075
Pd 2.550 5.603 1.308
Pm 0.000 0.000 0.000
Cd 7.649 5.888 4.418
Pd 2.550 0.763 2.583
Pd 2.550 0.000 0.000
Pd 7.649 3.141 3.951
Pd 5.099 4.025 1.236
Pd 5.099 4.719 4.022
Cd 5.099 2.074 3.184
```

Summary:
Its space group is C2/m (12). Its energy is -0.14752 hartree per atom. As for the formation energy: -3.409 eV per formula unit.

---

Record 2
Below is a geometry-optimized Pm5CdPd4 structure, with properties calculated at the PBE level.

The structure in extended XYZ format:
```
10
Lattice="-3.535 0.386 -0.694 -0.329 -3.594 -0.322 -3.680 -1.277 18.045" Properties=species:S:1:pos:R:3 pbc="T T T"
Pd -2.194 -0.762 10.761
Pd -2.914 -1.012 14.292
Pm -2.356 -1.751 1.570
Cd 0.000 0.000 0.000
Pd -1.486 -0.516 7.285
Pm -3.062 -1.996 5.031
Pm -5.188 -2.734 15.459
Pd -0.765 -0.266 3.753
Pm -4.483 -2.489 11.999
Pm -3.772 -2.243 8.515
```

Summary:
Its space group is P4/mmm (123). Its energy is -0.19159 hartree per atom. As for the formation energy: -6.696 eV per formula unit.

---

Record 3
Below is a geometry-optimized Pm3Cd2Pd4 structure, with properties calculated at the PBE level.

The structure in extended XYZ format:
```
9
Lattice="4.269 0.000 0.000 -2.135 5.418 -2.693 0.000 -0.398 9.105" Properties=species:S:1:pos:R:3 pbc="T T T"
Pd 2.135 4.501 3.026
Pd 0.000 2.811 6.981
Pd 2.135 2.210 -0.569
Pd 0.000 0.519 3.385
Pm 0.000 3.800 0.793
Pm 0.000 0.000 0.000
Cd 0.000 3.345 4.262
Cd 2.135 1.675 2.149
Pm 2.135 1.220 5.618
```

Summary:
Its space group is C2/m (12). Its energy is -0.17500 hartree per atom. As for the formation energy: -6.004 eV per formula unit. The calculation puts the energy above the most stable polymorph in this dataset at 3 meV/atom.

---

Record 4
Below is a geometry-optimized Pm4Cd5Pd6 structure, with properties calculated at the PBE level.

The structure in extended XYZ format:
```
30
Lattice="-0.298 -4.012 -0.901 2.260 -0.506 10.938 -14.514 0.400 3.017" Properties=species:S:1:pos:R:3 pbc="T T T"
Cd -12.511 -1.382 10.289
Pm -3.637 -0.539 3.603
Cd -7.687 -1.336 8.490
Pd -8.997 -2.215 3.405
Pd -0.958 -0.452 2.330
Pd -7.076 -3.790 9.784
Pm -13.017 -0.523 6.632
Pd -12.604 -2.986 8.031
Cd -7.752 -2.074 11.800
Cd -1.131 -2.885 3.787
Pd -4.743 -1.936 10.189
Pm -10.033 -3.548 9.683
Cd -10.610 -2.622 5.752
Pm -11.089 0.028 3.541
Pd -5.364 -0.983 6.149
Pd -13.594 -2.022 4.067
Cd -2.650 -1.476 7.449
Pm -7.338 0.075 2.091
Cd -6.263 -2.565 4.058
Pm 1.663 -4.383 9.533
Pd -10.443 -1.037 8.069
Cd -8.192 -0.673 5.707
Cd -2.469 -2.108 0.770
Pd -3.503 -3.043 5.274
Pd -5.249 -2.045 1.411
Pd -0.259 -1.994 8.964
Pm -2.347 -4.122 9.697
Cd -0.520 -3.550 6.548
Pd -10.555 -1.983 12.319
Pm -5.316 -3.436 7.623
```

Summary:
Its space group is Cmc2_1 (36). Its energy is -0.15562 hartree per atom. As for the formation energy: -8.784 eV per formula unit.